(1)
Compound: Hg2Au
Source: Alexandria via LeMat-Bulk
Functional: meta-GGA SCAN
Structure: single point on PBEsol structure

Lattice parameters (Å, degrees): 6.890 6.890 5.388 90.00 90.00 90.00
Space group I4/mcm (No. 140)
Inequivalent atoms, fractional coordinates:
Hg  0.152  0.348  0.000
Au  0.000  0.000  0.250

Computed properties:
Calculated total energy   -68.475 eV/atom
Spin magnetization   0.00 μB per atom
E_form   0.021 eV/atom

***

(2)
Compound: Hg2Au
Source: Alexandria via LeMat-Bulk
Functional: meta-GGA SCAN
Structure: single point on PBEsol structure

Lattice parameters (Å, degrees): 10.424 3.255 7.496 90.00 92.15 90.00
Space group C2/m (No. 12)
Inequivalent atoms, fractional coordinates:
Hg  0.135  0.000  0.069
Hg  0.141  0.000  0.685
Au  0.095  0.500  0.372

Computed properties:
Calculated total energy   -68.419 eV/atom
Spin magnetization   0.00 μB per atom
E_form   0.077 eV/atom

***

(3)
Compound: Hg2Au
Source: Alexandria via LeMat-Bulk
Functional: meta-GGA SCAN
Structure: single point on PBEsol structure

Lattice parameters (Å, degrees): 6.527 6.527 6.527 90.00 90.00 90.00
Space group Fm-3m (No. 225)
Inequivalent atoms, fractional coordinates:
Hg  0.250  0.250  0.250
Au  0.000  0.000  0.000

Computed properties:
Calculated total energy   -68.452 eV/atom
Spin magnetization   0.00 μB per atom
E_form   0.044 eV/atom

***

(4)
Compound: HgAu3
Source: Alexandria via LeMat-Bulk
Functional: meta-GGA SCAN
Structure: single point on PBEsol structure

Lattice parameters (Å, degrees): 4.070 4.194 8.334 90.00 90.00 90.00
Space group Immm (No. 71)
Inequivalent atoms, fractional coordinates:
Hg  0.000  0.000  0.000
Au  0.000  0.000  0.500
Au  0.000  0.500  0.250

Computed properties:
Calculated total energy   -68.848 eV/atom
Spin magnetization   0.00 μB per atom
E_form   0.061 eV/atom

***

(5)
Compound: HgAu2
Source: Alexandria via LeMat-Bulk
Functional: meta-GGA SCAN
Structure: single point on PBEsol structure

Lattice parameters (Å, degrees): 7.9580 7.9580 2.9894 90.00 90.00 120.00
Space group P-62m (No. 189)
Inequivalent atoms, fractional coordinates:
Hg  0.0000  0.0000  0.0000
Hg  0.3333  0.6667  0.5000
Au  0.0000  0.3599  0.0000
Au  0.0000  0.6924  0.5000

Computed properties:
Calculated total energy   -68.720 eV/atom
Spin magnetization   0.00 μB per atom
E_form   0.107 eV/atom

***

(6)
Compound: HgAu3
Source: Alexandria via LeMat-Bulk
Functional: meta-GGA SCAN
Structure: single point on PBEsol structure

Lattice parameters (Å, degrees): 2.987 9.509 5.006 90.00 90.00 90.00
Space group Imm2 (No. 44)
Inequivalent atoms, fractional coordinates:
Hg  0.000  0.000  0.000
Au  0.000  0.246  0.343
Au  0.000  0.500  0.006

Computed properties:
Calculated total energy   -68.847 eV/atom
Spin magnetization   0.00 μB per atom
E_form   0.062 eV/atom